No. 1
Computed, not measured: crystalline Er12HgRh6 at its relaxed geometry at the PBE level of DFT.

Unit cell a=8.4594 b=8.4594 c=8.4594 alpha=109.47 beta=109.47 gamma=109.47
Sites, in units of the cell vectors:
Er: 0.2987 0.1099 0.8112
Er: 0.2987 0.4876 0.1888
Er: 0.7013 0.5124 0.8112
Er: 0.7013 0.8901 0.1888
Er: 0.1099 0.8112 0.2987
Er: 0.4876 0.1888 0.2987
Er: 0.5124 0.8112 0.7013
Er: 0.8901 0.1888 0.7013
Er: 0.8112 0.2987 0.1099
Er: 0.1888 0.2987 0.4876
Er: 0.8112 0.7013 0.5124
Er: 0.1888 0.7013 0.8901
Hg: 0.0000 0.0000 0.0000
Rh: 0.3689 0.5000 0.8689
Rh: 0.6311 0.5000 0.1311
Rh: 0.5000 0.8689 0.3689
Rh: 0.5000 0.1311 0.6311
Rh: 0.8689 0.3689 0.5000
Rh: 0.1311 0.6311 0.5000

ΔE_f	-11.61	eV/f.u.
DOS at the Fermi energy	1.04	states/eV/atom
total magnetic moment	0.00	μB/f.u.


No. 2
Computed, not measured: crystalline CsCrRh at its relaxed geometry at the PBE level of DFT.

Unit cell a=4.4625 b=4.4798 c=11.8360 alpha=80.82 beta=86.50 gamma=63.64
Sites, in units of the cell vectors:
Cs: 0.8649 0.3593 0.5814
Cs: 0.0332 0.9477 0.1700
Cr: 0.5077 0.9027 0.8041
Cr: 0.6699 0.6794 0.9474
Rh: 0.9162 0.1177 0.8760
Rh: 0.2629 0.4666 0.8751

ΔE_f	1.45	eV/f.u.
DOS at the Fermi energy	0.87	states/eV/atom
total magnetic moment	0.00	μB/f.u.
energy relative to the lowest polymorph listed for this composition	0.09	eV/f.u.


No. 3
Computed, not measured: crystalline LaMg2In2 at its relaxed geometry at the PBE level of DFT.

Unit cell a=8.9154 b=8.9154 c=3.2828 alpha=90.00 beta=90.00 gamma=90.00
Sites, in units of the cell vectors:
Mg: 0.1535 0.6535 0.5000
Mg: 0.6535 0.8465 0.5000
Mg: 0.8465 0.3465 0.5000
Mg: 0.3465 0.1535 0.5000
In: 0.3577 0.8577 0.0000
In: 0.8577 0.6423 0.0000
In: 0.6423 0.1423 0.0000
In: 0.1423 0.3577 0.0000
La: 0.0000 0.0000 0.0000
La: 0.5000 0.5000 0.0000

ΔE_f	-1.03	eV/f.u.
DOS at the Fermi energy	0.59	states/eV/atom
total magnetic moment	0.00	μB/f.u.


No. 4
Computed, not measured: crystalline InSnAs2Se at its relaxed geometry at the PBE level of DFT.

Unit cell a=5.1960 b=5.1960 c=5.3384 alpha=90.00 beta=90.00 gamma=90.00
Sites, in units of the cell vectors:
As: 0.0000 0.5000 0.0000
As: 0.5000 0.0000 0.0000
Sn: 0.5000 0.5000 0.5000
Se: 0.0000 0.0000 0.5000
In: 0.0000 0.0000 0.0000

formation energy (no corrections)	575.8	meV/atom
DOS at the Fermi energy	0.94	states/eV/atom
total magnetic moment	0.00	μB/f.u.
energy relative to the lowest polymorph listed for this composition	0.26	eV/f.u.


No. 5
Computed, not measured: crystalline EuSc2Ir at its relaxed geometry at the PBE level of DFT.

Unit cell a=3.2910 b=3.2910 c=8.8266 alpha=90.00 beta=90.00 gamma=90.00
Sites, in units of the cell vectors:
Eu: 0.5000 0.5000 0.5000
Sc: 0.0000 0.0000 0.8247
Sc: 0.0000 0.0000 0.1753
Ir: 0.5000 0.5000 0.0000

ΔE_f	-1.71	eV/f.u.
DOS at the Fermi energy	1.03	states/eV/atom
total magnetic moment	7.70	μB/f.u.


No. 6
Computed, not measured: crystalline Na2SrZnAs2 at its relaxed geometry at the PBE level of DFT.

Unit cell a=4.4352 b=7.6470 c=8.5342 alpha=90.00 beta=90.00 gamma=90.00
Sites, in units of the cell vectors:
Na: 0.5000 0.0281 0.0800
Na: 0.0000 0.3541 0.1604
Na: 0.5000 0.5281 0.9200
Na: 0.0000 0.8541 0.8396
Sr: 0.0000 0.9965 0.4428
Sr: 0.0000 0.4965 0.5572
Zn: 0.5000 0.1489 0.6890
Zn: 0.5000 0.6489 0.3110
As: 0.0000 0.2321 0.8324
As: 0.5000 0.2860 0.3791
As: 0.0000 0.7321 0.1676
As: 0.5000 0.7860 0.6209

ΔE_f	-3.98	eV/f.u.
DOS at the Fermi energy	0.07	states/eV/atom
total magnetic moment	0.00	μB/f.u.


No. 7
Computed, not measured: crystalline BaLiHgBi3 at its relaxed geometry at the PBE level of DFT.

Unit cell a=6.9075 b=6.8779 c=9.9076 alpha=110.31 beta=90.00 gamma=90.00
Sites, in units of the cell vectors:
Ba: 0.7500 0.3098 0.6196
Ba: 0.2500 0.6902 0.3804
Li: 0.2500 0.4035 0.8071
Li: 0.7500 0.5965 0.1929
Hg: 0.2500 0.1042 0.2083
Hg: 0.7500 0.8958 0.7917
Bi: 0.2500 0.2559 0.5118
Bi: 0.0000 0.2662 0.0000
Bi: 0.5000 0.7338 0.0000
Bi: 0.5000 0.2662 0.0000
Bi: 0.0000 0.7338 0.0000
Bi: 0.7500 0.7441 0.4882

ΔE_f	-1.83	eV/f.u.
DOS at the Fermi energy	0.54	states/eV/atom
total magnetic moment	0.00	μB/f.u.


No. 8
Computed, not measured: crystalline LaGa8Cu2 at its relaxed geometry at the PBE level of DFT.

Unit cell a=5.6360 b=5.6360 c=8.1077 alpha=90.00 beta=90.00 gamma=90.00
Sites, in units of the cell vectors:
La: 0.5000 0.5000 0.5000
Ga: 0.7515 0.7515 0.1912
Ga: 0.7515 0.2485 0.8088
Ga: 0.7515 0.7515 0.8088
Ga: 0.7515 0.2485 0.1912
Ga: 0.2485 0.7515 0.1912
Ga: 0.2485 0.7515 0.8088
Ga: 0.2485 0.2485 0.1912
Ga: 0.2485 0.2485 0.8088
Cu: 0.5000 0.0000 0.0000
Cu: 0.0000 0.5000 0.0000

ΔE_f	0.20	eV/f.u.
DOS at the Fermi energy	0.43	states/eV/atom
total magnetic moment	0.00	μB/f.u.


No. 9
Computed, not measured: crystalline ThNb4N6 at its relaxed geometry at the PBE level of DFT.

Unit cell a=3.2248 b=5.4297 c=15.7071 alpha=90.00 beta=90.00 gamma=107.28
Sites, in units of the cell vectors:
Th: 0.6579 0.3158 0.2500
Th: 0.3421 0.6842 0.7500
Nb: 0.8512 0.7024 0.5413
Nb: 0.3997 0.7994 0.1251
Nb: 0.1488 0.2976 0.4587
Nb: 0.6003 0.2006 0.8749
Nb: 0.8512 0.7024 0.9587
Nb: 0.1488 0.2976 0.0413
Nb: 0.6003 0.2006 0.6251
Nb: 0.3997 0.7994 0.3749
N: 0.5000 0.0000 0.0000
N: 0.5000 0.0000 0.5000
N: 0.0358 0.0716 0.3417
N: 0.9642 0.9284 0.6583
N: 0.9642 0.9284 0.8417
N: 0.0358 0.0716 0.1583
N: 0.7625 0.5250 0.4051
N: 0.2375 0.4750 0.5949
N: 0.2375 0.4750 0.9051
N: 0.7625 0.5250 0.0949
N: 0.3347 0.6694 0.2500
N: 0.6653 0.3306 0.7500

formation energy (no corrections)	-1133.4	meV/atom
DOS at the Fermi energy	0.30	states/eV/atom
total magnetic moment	0.00	μB/f.u.


No. 10
Computed, not measured: crystalline AgPd4Pt at its relaxed geometry at the PBE level of DFT.

Unit cell a=5.7025 b=9.2950 c=7.8921 alpha=64.88 beta=90.00 gamma=90.00
Sites, in units of the cell vectors:
Ag: 0.8748 0.7501 0.7499
Ag: 0.3748 0.7499 0.2501
Ag: 0.1252 0.2499 0.2501
Ag: 0.6252 0.2501 0.7499
Pd: 0.3750 0.4224 0.9138
Pd: 0.8750 0.0776 0.0862
Pd: 0.6250 0.5776 0.0862
Pd: 0.1250 0.9224 0.9138
Pd: 0.8751 0.4115 0.9193
Pd: 0.3751 0.0885 0.0807
Pd: 0.1249 0.5885 0.0807
Pd: 0.6249 0.9115 0.9193
Pd: 0.1249 0.5775 0.5863
Pd: 0.6249 0.9225 0.4137
Pd: 0.8751 0.4225 0.4137
Pd: 0.3751 0.0775 0.5863
Pd: 0.6250 0.5885 0.5808
Pd: 0.1250 0.9115 0.4192
Pd: 0.3750 0.4115 0.4192
Pd: 0.8750 0.0885 0.5808
Pt: 0.3748 0.7500 0.7500
Pt: 0.8748 0.7500 0.2500
Pt: 0.6252 0.2500 0.2500
Pt: 0.1252 0.2500 0.7500

ΔE_f	-0.02	eV/f.u.
DOS at the Fermi energy	2.00	states/eV/atom
total magnetic moment	0.00	μB/f.u.
energy relative to the lowest polymorph listed for this composition	0.00	eV/f.u.


No. 11
Computed, not measured: crystalline LiTiIr at its relaxed geometry at the PBE level of DFT.

Unit cell a=4.1515 b=2.8570 c=7.9029 alpha=79.59 beta=90.00 gamma=90.00
Sites, in units of the cell vectors:
Ir: 0.2500 0.1020 0.7961
Ir: 0.7500 0.8980 0.2039
Ti: 0.2500 0.4435 0.1130
Ti: 0.7500 0.5565 0.8870
Li: 0.7500 0.7243 0.5514
Li: 0.2500 0.2757 0.4486

ΔE_f	-1.18	eV/f.u.
DOS at the Fermi energy	0.69	states/eV/atom
total magnetic moment	0.00	μB/f.u.
energy relative to the lowest polymorph listed for this composition	0.12	eV/f.u.


No. 12
Computed, not measured: crystalline KTi2Pb at its relaxed geometry at the PBE level of DFT.

Unit cell a=4.8912 b=4.8912 c=10.9918 alpha=77.14 beta=77.14 gamma=90.00
Sites, in units of the cell vectors:
Pb: 0.0000 0.0000 0.0000
Pb: 0.7500 0.2500 0.5000
K: 0.5000 0.5000 0.0000
K: 0.2500 0.7500 0.5000
Ti: 0.8583 0.1250 0.2500
Ti: 0.8917 0.6250 0.2500
Ti: 0.3750 0.1417 0.7500
Ti: 0.8750 0.1083 0.7500

ΔE_f	3.26	eV/f.u.
DOS at the Fermi energy	1.68	states/eV/atom
total magnetic moment	0.00	μB/f.u.


No. 13
Computed, not measured: crystalline TbYHoEr at its relaxed geometry at the PBE level of DFT.

Unit cell a=5.0081 b=5.0064 c=6.1317 alpha=114.09 beta=114.10 gamma=90.00
Sites, in units of the cell vectors:
Tb: 0.1198 0.1198 0.2395
Y: 0.3699 0.8699 0.7397
Ho: 0.8697 0.3697 0.7393
Er: 0.6198 0.6198 0.2397

ΔE_f	0.09	eV/f.u.
DOS at the Fermi energy	1.47	states/eV/atom
total magnetic moment	0.00	μB/f.u.
energy relative to the lowest polymorph listed for this composition	0.00	eV/f.u.


No. 14
Computed, not measured: crystalline GaCuPd14 at its relaxed geometry at the PBE level of DFT.

Unit cell a=5.5381 b=5.5381 c=9.0931 alpha=90.00 beta=90.00 gamma=119.25
Sites, in units of the cell vectors:
Ga: 0.5469 0.4531 0.5000
Cu: 0.0463 0.9537 0.5000
Pd: 0.2034 0.7966 0.0000
Pd: 0.7038 0.2962 0.0000
Pd: 0.0509 0.4492 0.5000
Pd: 0.2048 0.2949 0.0000
Pd: 0.5508 0.9491 0.5000
Pd: 0.7051 0.7952 0.0000
Pd: 0.3733 0.1287 0.7396
Pd: 0.3733 0.1287 0.2604
Pd: 0.8713 0.6267 0.7396
Pd: 0.8713 0.6267 0.2604
Pd: 0.3743 0.6257 0.7490
Pd: 0.3743 0.6257 0.2510
Pd: 0.8751 0.1249 0.7489
Pd: 0.8751 0.1249 0.2511

ΔE_f	-1.85	eV/f.u.
DOS at the Fermi energy	1.86	states/eV/atom
total magnetic moment	0.00	μB/f.u.


No. 15
Computed, not measured: crystalline RuC3 at its relaxed geometry at the PBE level of DFT.

Unit cell a=3.2514 b=3.2514 c=3.9439 alpha=90.00 beta=90.00 gamma=90.00
Sites, in units of the cell vectors:
Ru: 0.5000 0.5000 0.7500
C: 0.0000 0.0000 0.9174
C: 0.5000 0.5000 0.2500
C: 0.0000 0.0000 0.5826

ΔE_f	8.68	eV/f.u.
DOS at the Fermi energy	0.70	states/eV/atom
total magnetic moment	0.14	μB/f.u.
energy relative to the lowest polymorph listed for this composition	5.06	eV/f.u.


No. 16
Computed, not measured: crystalline SbTePt2 at its relaxed geometry at the PBE level of DFT.

Unit cell a=4.8826 b=4.8826 c=4.8826 alpha=60.00 beta=60.00 gamma=60.00
Sites, in units of the cell vectors:
Pt: 0.0000 0.0000 0.0000
Pt: 0.2500 0.2500 0.2500
Sb: 0.5000 0.5000 0.5000
Te: 0.7500 0.7500 0.7500

formation energy (no corrections)	307.4	meV/atom
DOS at the Fermi energy	0.95	states/eV/atom
total magnetic moment	0.00	μB/f.u.


No. 17
Computed, not measured: crystalline Ba4SrN at its relaxed geometry at the PBE level of DFT.

Unit cell a=6.8062 b=7.9275 c=7.9275 alpha=100.62 beta=115.42 gamma=64.58
Sites, in units of the cell vectors:
Ba: 0.3683 0.0971 0.2677
Ba: 0.1977 0.9029 0.7323
Ba: 0.5346 0.2677 0.9029
Ba: 0.8994 0.7323 0.0971
Sr: 0.7500 0.5000 0.5000
N: 0.5000 0.0000 0.0000

formation energy (no corrections)	-149.3	meV/atom
DOS at the Fermi energy	1.17	states/eV/atom
total magnetic moment	0.00	μB/f.u.
energy relative to the lowest polymorph listed for this composition	0.00	eV/f.u.


No. 18
Computed, not measured: crystalline Tb2Ho7Tm3 at its relaxed geometry at the PBE level of DFT.

Unit cell a=3.5610 b=5.6258 c=18.8015 alpha=98.60 beta=90.00 gamma=90.00
Sites, in units of the cell vectors:
Tb: 0.0000 0.8523 0.7046
Tb: 0.0000 0.1477 0.2954
Ho: 0.0000 0.4088 0.8175
Ho: 0.0000 0.7689 0.5379
Ho: 0.0000 0.0000 0.0000
Ho: 0.0000 0.5912 0.1825
Ho: 0.5000 0.0715 0.1430
Ho: 0.5000 0.9285 0.8570
Ho: 0.0000 0.2311 0.4622
Tm: 0.5000 0.5000 0.0000
Tm: 0.5000 0.6851 0.3701
Tm: 0.5000 0.3149 0.6299

ΔE_f	1.40	eV/f.u.
DOS at the Fermi energy	1.47	states/eV/atom
total magnetic moment	0.00	μB/f.u.
energy relative to the lowest polymorph listed for this composition	0.46	eV/f.u.


No. 19
Computed, not measured: crystalline AsSe2Cl at its relaxed geometry at the PBE level of DFT.

Unit cell a=6.0069 b=6.0069 c=5.6582 alpha=82.17 beta=82.17 gamma=36.18
Sites, in units of the cell vectors:
As: 0.5164 0.5164 0.6005
Se: 0.9832 0.9832 0.9386
Se: 0.8509 0.8509 0.6374
Cl: 0.1495 0.1495 0.3234

formation energy (no corrections)	-96.5	meV/atom
total magnetic moment	0.00	μB/f.u.
energy relative to the lowest polymorph listed for this composition	0.40	eV/f.u.


No. 20
Computed, not measured: crystalline Y4Er4Tm at its relaxed geometry at the PBE level of DFT.

Unit cell a=4.9884 b=7.9065 c=7.9065 alpha=84.29 beta=71.61 gamma=71.61
Sites, in units of the cell vectors:
Y: 0.6665 0.6671 0.0000
Y: 0.3335 0.3329 0.0000
Y: 0.6665 0.0000 0.6671
Y: 0.3335 0.0000 0.3329
Er: 0.6654 0.3346 0.3347
Er: 0.3346 0.6654 0.6653
Er: 0.0000 0.6653 0.3346
Er: 0.0000 0.3347 0.6654
Tm: 0.0000 0.0000 0.0000

ΔE_f	0.24	eV/f.u.
DOS at the Fermi energy	1.44	states/eV/atom
total magnetic moment	0.00	μB/f.u.
energy relative to the lowest polymorph listed for this composition	0.00	eV/f.u.


No. 21
Computed, not measured: crystalline NbAs2PbBr at its relaxed geometry at the PBE level of DFT.

Unit cell a=5.0665 b=5.0665 c=5.2395 alpha=90.00 beta=90.00 gamma=90.00
Sites, in units of the cell vectors:
Pb: 0.5000 0.5000 0.5000
Nb: 0.0000 0.0000 0.0000
As: 0.0000 0.5000 0.0000
As: 0.5000 0.0000 0.0000
Br: 0.0000 0.0000 0.5000

formation energy (no corrections)	33.6	meV/atom
DOS at the Fermi energy	0.37	states/eV/atom
total magnetic moment	0.00	μB/f.u.
energy relative to the lowest polymorph listed for this composition	0.00	eV/f.u.


No. 22
Computed, not measured: crystalline YCl2F2 at its relaxed geometry at the PBE level of DFT.

Unit cell a=3.4372 b=3.4372 c=7.9867 alpha=77.57 beta=77.57 gamma=90.00
Sites, in units of the cell vectors:
Y: 0.0000 0.0000 0.0000
F: 0.7500 0.2500 0.5000
F: 0.2500 0.7500 0.5000
Cl: 0.4017 0.4017 0.1966
Cl: 0.5983 0.5983 0.8034

formation energy (no corrections)	-1224.9	meV/atom
DOS at the Fermi energy	0.25	states/eV/atom
total magnetic moment	1.28	μB/f.u.
energy relative to the lowest polymorph listed for this composition	1.85	eV/f.u.


No. 23
Computed, not measured: crystalline BPdPt2 at its relaxed geometry at the PBE level of DFT.

Unit cell a=2.8678 b=2.8678 c=7.8106 alpha=79.42 beta=79.42 gamma=60.00
Sites, in units of the cell vectors:
B: 0.0000 0.0000 0.0000
Pd: 0.5000 0.5000 0.5000
Pt: 0.2697 0.2697 0.1910
Pt: 0.7303 0.7303 0.8090

ΔE_f	-0.46	eV/f.u.
DOS at the Fermi energy	0.35	states/eV/atom
total magnetic moment	0.00	μB/f.u.